Arrangement P

The following is a DFT calculation (PBE) of crystalline CoSn4Pd at its relaxed geometry.

The structure in POSCAR format:
```
CoSn4Pd
1.0
4.473 0.000 0.000
0.000 4.473 0.000
0.000 0.000 6.464
Co Sn Pd
1 4 1
direct
0.000 0.000 0.000
0.000 0.500 0.236
0.000 0.500 0.764
0.500 0.000 0.236
0.500 0.000 0.764
0.500 0.500 0.500
```

Output
The space group is P4/mmm (123).

=====

Arrangement Q

The following is a DFT calculation (PBE) of crystalline CoSn4Pd at its relaxed geometry.

The structure in POSCAR format:
```
CoSn4Pd
1.0
6.387 0.000 0.000
0.000 3.532 0.000
-2.207 0.000 6.148
Co Sn Pd
1 4 1
direct
0.000 0.000 0.000
0.066 0.500 0.739
0.401 0.000 0.267
0.599 0.000 0.733
0.934 0.500 0.261
0.500 0.500 0.000
```

Output
The space group is P2/m (10).

=====

Relative energies, meV/atom: arrangement P 0; arrangement Q 151.

=====

Arrangement P

The following is a DFT calculation (PBE) of crystalline Co2SnPd2 at its relaxed geometry.

The structure in POSCAR format:
```
Co2SnPd2
1.0
6.412 0.000 0.000
0.000 6.412 0.000
0.000 0.000 3.731
Co Sn Pd
4 2 4
direct
0.123 0.377 0.000
0.377 0.877 0.000
0.623 0.123 0.000
0.877 0.623 0.000
0.000 0.000 0.000
0.500 0.500 0.000
0.165 0.665 0.500
0.335 0.165 0.500
0.665 0.835 0.500
0.835 0.335 0.500
```

Output
The space group is P4/mbm (127).

=====

Arrangement Q

The following is a DFT calculation (PBE) of crystalline Co2SnPd2 at its relaxed geometry.

The structure in POSCAR format:
```
Co2SnPd2
1.0
7.322 0.000 0.000
0.000 7.322 0.000
0.000 0.000 2.892
Co Sn Pd
4 2 4
direct
0.163 0.337 0.000
0.337 0.837 0.000
0.663 0.163 0.000
0.837 0.663 0.000
0.000 0.000 0.500
0.500 0.500 0.500
0.132 0.632 0.500
0.368 0.132 0.500
0.632 0.868 0.500
0.868 0.368 0.500
```

Output
The space group is P4/mbm (127).

=====

Relative energies, meV/atom: arrangement P 0; arrangement Q 109.

=====

Arrangement P

The following is a DFT calculation (PBE) of crystalline CoSn2Pd at its relaxed geometry.

The structure in POSCAR format:
```
CoSn2Pd
1.0
0.000 3.258 3.258
3.258 0.000 3.258
3.258 3.258 0.000
Co Sn Pd
1 2 1
direct
0.000 0.000 0.000
0.250 0.250 0.250
0.750 0.750 0.750
0.500 0.500 0.500
```

Output
The space group is Fm-3m (225).

=====

Arrangement Q

The following is a DFT calculation (PBE) of crystalline CoSn2Pd at its relaxed geometry.

The structure in POSCAR format:
```
CoSn2Pd
1.0
1.574 0.909 9.051
-1.574 0.909 9.051
0.000 -1.818 9.051
Co Sn Pd
1 2 1
direct
0.000 0.000 0.000
0.404 0.404 0.404
0.596 0.596 0.596
0.500 0.500 0.500
```

Output
The space group is R-3m (166).

=====

Relative energies, meV/atom: arrangement P 0; arrangement Q 172.

=====

Arrangement P

The following is a DFT calculation (PBE) of crystalline SrCo2Pd2 at its relaxed geometry.

The structure in POSCAR format:
```
SrCo2Pd2
1.0
7.668 0.000 0.000
0.000 7.668 0.000
0.000 0.000 2.869
Sr Co Pd
2 4 4
direct
0.000 0.000 0.000
0.500 0.500 0.000
0.105 0.395 0.000
0.395 0.895 0.000
0.605 0.105 0.000
0.895 0.605 0.000
0.184 0.684 0.500
0.316 0.184 0.500
0.684 0.816 0.500
0.816 0.316 0.500
```

Output
The space group is P4/mbm (127).

=====

Arrangement Q

The following is a DFT calculation (PBE) of crystalline SrCo2Pd2 at its relaxed geometry.

The structure in POSCAR format:
```
SrCo2Pd2
1.0
-2.138 2.138 4.994
2.138 -2.138 4.994
2.138 2.138 -4.994
Sr Co Pd
1 2 2
direct
0.000 0.000 0.000
0.391 0.391 0.000
0.609 0.609 0.000
0.250 0.750 0.500
0.750 0.250 0.500
```

Output
The space group is I4/mmm (139).

=====

Relative energies, meV/atom: arrangement P 83; arrangement Q 0.

=====

Arrangement P

The following is a DFT calculation (PBE) of crystalline SrCoPd3 at its relaxed geometry.

The structure in POSCAR format:
```
SrCoPd3
1.0
4.724 0.000 0.000
0.000 4.724 0.000
0.000 0.000 4.724
Sr Co Pd
1 1 3
direct
0.000 0.000 0.000
0.500 0.500 0.500
0.000 0.500 0.500
0.500 0.000 0.500
0.500 0.500 0.000
```

Output
The space group is Pm-3m (221).

=====

Arrangement Q

The following is a DFT calculation (PBE) of crystalline SrCoPd3 at its relaxed geometry.

The structure in POSCAR format:
```
SrCoPd3
1.0
5.122 0.000 0.000
0.000 5.122 0.000
0.000 0.000 5.122
Sr Co Pd
1 1 3
direct
0.000 0.000 0.000
0.500 0.500 0.500
0.000 0.000 0.500
0.000 0.500 0.000
0.500 0.000 0.000
```

Output
The space group is Pm-3m (221).

=====

Relative energies, meV/atom: arrangement P 0; arrangement Q 1410.

=====

Arrangement P

The following is a DFT calculation (PBE) of crystalline TaCo3Pd at its relaxed geometry.

The structure in POSCAR format:
```
TaCo3Pd
1.0
4.435 0.000 0.000
0.000 4.435 0.000
0.000 0.000 4.435
Ta Co Pd
1 3 1
direct
0.000 0.000 0.000
0.000 0.500 0.500
0.500 0.000 0.500
0.500 0.500 0.000
0.500 0.500 0.500
```

Output
The space group is Pm-3m (221).

=====

Arrangement Q

The following is a DFT calculation (PBE) of crystalline TaCo3Pd at its relaxed geometry.

The structure in POSCAR format:
```
TaCo3Pd
1.0
4.426 0.000 0.000
0.000 4.426 0.000
0.000 0.000 4.426
Ta Co Pd
1 3 1
direct
0.000 0.000 0.000
0.000 0.000 0.500
0.000 0.500 0.000
0.500 0.000 0.000
0.500 0.500 0.500
```

Output
The space group is Pm-3m (221).

=====

Relative energies, meV/atom: arrangement P 171; arrangement Q 0.

=====

Arrangement P

The following is a DFT calculation (PBE) of crystalline TaCoPd2 at its relaxed geometry.

The structure in POSCAR format:
```
TaCoPd2
1.0
3.801 0.000 0.000
0.000 3.801 0.000
0.000 0.000 4.001
Ta Co Pd
1 1 2
direct
0.000 0.000 0.000
0.500 0.500 0.000
0.000 0.500 0.500
0.500 0.000 0.500
```

Output
The space group is P4/mmm (123).

=====

Arrangement Q

The following is a DFT calculation (PBE) of crystalline TaCoPd2 at its relaxed geometry.

The structure in POSCAR format:
```
TaCoPd2
1.0
0.000 3.112 3.112
3.112 0.000 3.112
3.112 3.112 0.000
Ta Co Pd
1 1 2
direct
0.000 0.000 0.000
0.500 0.500 0.500
0.250 0.250 0.250
0.750 0.750 0.750
```

Output
The space group is Fm-3m (225).

=====

Arrangement R

The following is a DFT calculation (PBE) of crystalline TaCoPd2 at its relaxed geometry.

The structure in POSCAR format:
```
TaCoPd2
1.0
-3.479 3.479 2.633
3.479 -3.479 2.633
3.479 3.479 -2.633
Ta Co Pd
2 2 4
direct
0.000 0.000 0.000
0.750 0.250 0.500
0.250 0.750 0.500
0.500 0.500 0.000
0.136 0.625 0.011
0.375 0.386 0.511
0.614 0.125 0.989
0.875 0.864 0.489
```

Output
The space group is I-42d (122).

=====

Relative energies, meV/atom: arrangement P 0; arrangement Q 279; arrangement R 574.

=====

Arrangement P

The following is a DFT calculation (PBE) of crystalline Ta2CoPd at its relaxed geometry.

The structure in POSCAR format:
```
Ta2CoPd
1.0
0.000 3.161 3.161
3.161 0.000 3.161
3.161 3.161 0.000
Ta Co Pd
2 1 1
direct
0.250 0.250 0.250
0.750 0.750 0.750
0.000 0.000 0.000
0.500 0.500 0.500
```

Output
The space group is Fm-3m (225).

=====

Arrangement Q

The following is a DFT calculation (PBE) of crystalline Ta2CoPd at its relaxed geometry.

The structure in POSCAR format:
```
Ta2CoPd
1.0
-1.973 1.973 8.768
1.973 -1.973 8.768
1.973 1.973 -8.768
Ta Co Pd
4 2 2
direct
0.115 0.625 0.990
0.375 0.365 0.490
0.635 0.125 0.010
0.875 0.885 0.510
0.000 0.000 0.000
0.750 0.250 0.500
0.250 0.750 0.500
0.500 0.500 0.000
```

Output
The space group is I-42d (122).

=====

Relative energies, meV/atom: arrangement P 0; arrangement Q 466.

=====

Arrangement P

The following is a DFT calculation (PBE) of crystalline Ta2Co2Pd at its relaxed geometry.

The structure in POSCAR format:
```
Ta2Co2Pd
1.0
7.286 0.000 0.000
0.000 7.286 0.000
0.000 0.000 2.843
Ta Co Pd
4 4 2
direct
0.156 0.344 0.000
0.344 0.844 0.000
0.656 0.156 0.000
0.844 0.656 0.000
0.135 0.635 0.500
0.365 0.135 0.500
0.635 0.865 0.500
0.865 0.365 0.500
0.000 0.000 0.000
0.500 0.500 0.000
```

Output
The space group is P4/mbm (127).

=====

Arrangement Q

The following is a DFT calculation (PBE) of crystalline Ta2Co2Pd at its relaxed geometry.

The structure in POSCAR format:
```
Ta2Co2Pd
1.0
6.925 0.000 0.000
0.000 6.925 0.000
0.000 0.000 3.008
Ta Co Pd
4 4 2
direct
0.169 0.331 0.000
0.331 0.831 0.000
0.669 0.169 0.000
0.831 0.669 0.000
0.131 0.631 0.500
0.369 0.131 0.500
0.631 0.869 0.500
0.869 0.369 0.500
0.000 0.000 0.500
0.500 0.500 0.500
```

Output
The space group is P4/mbm (127).

=====

Relative energies, meV/atom: arrangement P 303; arrangement Q 0.

=====

Arrangement P

The following is a DFT calculation (PBE) of crystalline Tb4CoPd at its relaxed geometry.

The structure in POSCAR format:
```
Tb4CoPd
1.0
6.853 0.000 0.000
0.000 6.853 0.000
0.000 0.000 6.299
Tb Co Pd
8 2 2
direct
0.172 0.308 0.000
0.172 0.692 0.500
0.308 0.172 0.500
0.308 0.828 0.000
0.692 0.172 0.000
0.692 0.828 0.500
0.828 0.308 0.500
0.828 0.692 0.000
0.000 0.000 0.250
0.000 0.000 0.750
0.500 0.500 0.250
0.500 0.500 0.750
```

Output
The space group is P4/mcc (124).

=====

Arrangement Q

The following is a DFT calculation (PBE) of crystalline Tb4CoPd at its relaxed geometry.

The structure in POSCAR format:
```
Tb4CoPd
1.0
4.405 -6.991 0.000
4.405 6.991 0.000
-4.156 0.000 5.237
Tb Co Pd
8 2 2
direct
0.057 0.628 0.843
0.210 0.277 0.750
0.277 0.210 0.250
0.372 0.943 0.657
0.628 0.057 0.343
0.723 0.790 0.750
0.790 0.723 0.250
0.943 0.372 0.157
0.086 0.914 0.750
0.914 0.086 0.250
0.370 0.630 0.250
0.630 0.370 0.750
```

Output
The space group is C2/c (15).

=====

Relative energies, meV/atom: arrangement P 0; arrangement Q 29.

=====

Arrangement P

The following is a DFT calculation (PBE) of crystalline Tb3CoPd at its relaxed geometry.

The structure in POSCAR format:
```
Tb3CoPd
1.0
7.782 -1.900 0.000
7.782 1.900 0.000
-0.301 0.000 8.027
Tb Co Pd
6 2 2
direct
0.058 0.058 0.314
0.238 0.238 0.694
0.397 0.397 0.049
0.603 0.603 0.951
0.762 0.762 0.306
0.942 0.942 0.686
0.215 0.215 0.062
0.785 0.785 0.938
0.406 0.406 0.422
0.594 0.594 0.578
```

Output
The space group is C2/m (12).

=====

Arrangement Q

The following is a DFT calculation (PBE) of crystalline Tb3CoPd at its relaxed geometry.

The structure in POSCAR format:
```
Tb3CoPd
1.0
5.044 -3.093 0.000
5.044 3.093 0.000
-3.462 0.000 7.487
Tb Co Pd
6 2 2
direct
0.011 0.011 0.221
0.298 0.298 0.660
0.315 0.315 0.148
0.685 0.685 0.852
0.702 0.702 0.340
0.989 0.989 0.779
0.315 0.685 0.000
0.685 0.315 0.000
0.273 0.727 0.500
0.727 0.273 0.500
```

Output
The space group is C2/m (12).

=====

Relative energies, meV/atom: arrangement P 0; arrangement Q 9.